1.
Computed, not measured: a geometry-optimized Te2WCI structure at the PBE level of DFT.

Fermi-level density of states, states/eV/cell: 3.38
Space group: P4/mmm, No. 123
Size of the total moment, μB per formula unit: 1.9

a b c (Å): 4.688 4.688 4.762
angles (deg): 90.00 90.00 90.00
Atoms (fractional coordinates):
I1 0.000 0.000 0.500
C1 0.000 0.000 0.000
Te1 0.000 0.500 0.000
Te2 0.500 0.000 0.000
W1 0.500 0.500 0.500

=====

2.
Computed, not measured: a geometry-optimized Te2WCI structure at the PBE level of DFT.

Fermi-level density of states, states/eV/cell: 4.79
Space group: P4/mmm, No. 123
Size of the total moment, μB per formula unit: 2.9

a b c (Å): 5.246 5.246 5.674
angles (deg): 90.00 90.00 90.00
Atoms (fractional coordinates):
I1 0.000 0.000 0.500
C1 0.500 0.500 0.500
Te1 0.000 0.500 0.000
Te2 0.500 0.000 0.000
W1 0.000 0.000 0.000

=====

Which one is the least stable? From the structures above, 2.